[1]
DFT (PBE) results for a geometry-optimized OsW2Cl structure.

```
OsW2Cl
1.0
1.4240 0.8222 10.1542
-1.4240 0.8222 10.1542
0.0000 -1.6443 10.1542
Os W Cl
1 2 1
Direct
0.0000 0.0000 0.0000 Os
0.4821 0.4821 0.4821 W
0.7353 0.7353 0.7353 W
0.2101 0.2101 0.2101 Cl
```

Calculated values
Its energy relative to the lowest polymorph listed for this composition is 0.0 meV/atom. The calculated total energy is -37.6 eV per cell. Its density of states at the Fermi level is 2.010 states/eV/cell. The value obtained for the density is 13.81 g cm⁻³.



[2]
DFT (PBE) results for a geometry-optimized Os2WCl structure.

```
Os2WCl
1.0
0.0000 3.1433 3.1433
3.1433 0.0000 3.1433
3.1433 3.1433 0.0000
Os W Cl
2 1 1
Direct
0.2500 0.2500 0.2500 Os
0.7500 0.7500 0.7500 Os
0.0000 0.0000 0.0000 W
0.5000 0.5000 0.5000 Cl
```

Calculated values
Its energy relative to the lowest polymorph listed for this composition is 747.7 meV/atom. The calculated total energy is -32.5 eV per cell. Its density of states at the Fermi level is 3.167 states/eV/cell. The value obtained for the density is 16.03 g cm⁻³.



[3]
DFT (PBE) results for a geometry-optimized Os2WCl structure.

```
Os2WCl
1.0
-1.4277 2.2976 4.5643
1.4277 -2.2976 4.5643
1.4277 2.2976 -4.5643
Os W Cl
2 1 1
Direct
0.0000 0.0000 0.0000 Os
0.7505 0.2505 0.5000 Os
0.4680 0.4680 0.0000 W
0.2472 0.7472 0.5000 Cl
```

Calculated values
Its energy relative to the lowest polymorph listed for this composition is 516.0 meV/atom. The calculated total energy is -33.4 eV per cell. Its density of states at the Fermi level is 3.135 states/eV/cell. The value obtained for the density is 16.63 g cm⁻³.



[4]
DFT (PBE) results for a geometry-optimized Os2WCl structure.

```
Os2WCl
1.0
1.4024 -2.4405 0.0000
1.4024 2.4405 0.0000
0.0000 0.0000 9.9751
Os W Cl
2 1 1
Direct
0.0000 0.0000 0.0000 Os
0.5000 0.5000 0.2194 Os
0.0000 0.0000 0.4552 W
0.5000 0.5000 0.6597 Cl
```

Calculated values
Its energy relative to the lowest polymorph listed for this composition is 357.1 meV/atom. The calculated total energy is -34.1 eV per cell. Its density of states at the Fermi level is 4.674 states/eV/cell. The value obtained for the density is 14.59 g cm⁻³.



[5]
DFT (PBE) results for a geometry-optimized Os2WCl structure.

```
Os2WCl
1.0
2.7029 -4.5136 0.0000
2.7029 4.5136 0.0000
-1.3134 0.0000 2.5031
Os W Cl
2 1 1
Direct
0.0000 0.5000 0.0000 Os
0.5000 0.0000 0.0000 Os
0.0000 0.0000 0.5000 W
0.5000 0.5000 0.5000 Cl
```

Calculated values
Its energy relative to the lowest polymorph listed for this composition is 699.4 meV/atom. The calculated total energy is -32.7 eV per cell. Its density of states at the Fermi level is 4.208 states/eV/cell. The value obtained for the density is 16.31 g cm⁻³.



[6]
DFT (PBE) results for a geometry-optimized OsW2Cl structure.

```
OsW2Cl
1.0
5.0021 -1.4574 0.0000
5.0021 1.4574 0.0000
-0.2286 0.0000 4.4508
Os W Cl
1 2 1
Direct
0.0000 0.0000 0.0000 Os
0.4277 0.4277 0.4572 W
0.7258 0.7258 0.1628 W
0.2191 0.2191 0.7351 Cl
```

Calculated values
Its energy relative to the lowest polymorph listed for this composition is 339.0 meV/atom. The calculated total energy is -36.2 eV per cell. Its density of states at the Fermi level is 1.909 states/eV/cell. The value obtained for the density is 15.18 g cm⁻³.



[7]
DFT (PBE) results for a geometry-optimized OsW2Cl structure.

```
OsW2Cl
1.0
-1.4436 2.2774 4.6126
1.4436 -2.2774 4.6126
1.4436 2.2774 -4.6126
Os W Cl
1 2 1
Direct
0.0000 0.0000 0.0000 Os
0.2503 0.7503 0.5000 W
0.5363 0.5363 0.0000 W
0.7542 0.2542 0.5000 Cl
```

Calculated values
Its energy relative to the lowest polymorph listed for this composition is 383.9 meV/atom. The calculated total energy is -36.1 eV per cell. Its density of states at the Fermi level is 2.923 states/eV/cell. The value obtained for the density is 16.24 g cm⁻³.



[8]
DFT (PBE) results for a geometry-optimized Os2WCl structure.

```
Os2WCl
1.0
1.4271 0.8240 8.7231
-1.4271 0.8240 8.7231
0.0000 -1.6479 8.7231
Os W Cl
2 1 1
Direct
0.2484 0.2484 0.2484 Os
0.7516 0.7516 0.7516 Os
0.5000 0.5000 0.5000 W
0.0000 0.0000 0.0000 Cl
```

Calculated values
Its energy relative to the lowest polymorph listed for this composition is 80.3 meV/atom. The calculated total energy is -35.2 eV per cell. Its density of states at the Fermi level is 4.097 states/eV/cell. The value obtained for the density is 16.18 g cm⁻³.



[9]
DFT (PBE) results for a geometry-optimized OsW2Cl structure.

```
OsW2Cl
1.0
2.6994 -4.2420 0.0000
2.6994 4.2420 0.0000
-0.8192 0.0000 2.7292
Os W Cl
1 2 1
Direct
0.0000 0.0000 0.0000 Os
0.0000 0.5000 0.5000 W
0.5000 0.0000 0.5000 W
0.5000 0.5000 0.0000 Cl
```

Calculated values
Its energy relative to the lowest polymorph listed for this composition is 661.2 meV/atom. The calculated total energy is -34.9 eV per cell. Its density of states at the Fermi level is 2.720 states/eV/cell. The value obtained for the density is 15.76 g cm⁻³.



[10]
DFT (PBE) results for a geometry-optimized Os2WCl structure.

```
Os2WCl
1.0
1.4154 0.8172 9.9119
-1.4154 0.8172 9.9119
0.0000 -1.6343 9.9119
Os W Cl
2 1 1
Direct
0.0000 0.0000 0.0000 Os
0.2636 0.2636 0.2636 Os
0.7420 0.7420 0.7420 W
0.4723 0.4723 0.4723 Cl
```

Calculated values
Its energy relative to the lowest polymorph listed for this composition is 0.0 meV/atom. The calculated total energy is -35.5 eV per cell. Its density of states at the Fermi level is 4.937 states/eV/cell. The value obtained for the density is 14.48 g cm⁻³.